Record 1
This record from Alexandria via LeMat-Bulk describes a geometry-optimized BaZn4W structure. The functional is PBE.

Computed properties:
DFT formation energy: 481 meV per atom

a b c (Å): 7.7027 7.7027 7.7027
angles (deg): 90.00 90.00 90.00
Space group F-43m (No. 216)
Inequivalent atoms, fractional coordinates:
Ba 0.0000 0.0000 0.0000 (multiplicity 4)
Zn 0.1220 0.1220 0.3780 (multiplicity 16)
W 0.2500 0.2500 0.7500 (multiplicity 4)

---

Record 2
This record from Alexandria via LeMat-Bulk describes a geometry-optimized CuP2CO structure. The functional is PBE.

Computed properties:
E above lowest polymorph: 0 meV per atom
Raw formation energy: 1.01 eV per atom

a b c (Å): 4.3352 4.3352 2.9956
angles (deg): 90.00 90.00 90.00
Space group P4/mmm (No. 123)
Inequivalent atoms, fractional coordinates:
Cu 0.0000 0.0000 0.0000 (multiplicity 1)
P 0.0000 0.5000 0.5000 (multiplicity 2)
C 0.5000 0.5000 0.5000 (multiplicity 1)
O 0.5000 0.5000 0.0000 (multiplicity 1)

---

Record 3
This record from Alexandria via LeMat-Bulk describes a geometry-optimized ScTc2W structure. The functional is PBE.

Computed properties:
E above lowest polymorph: 215 meV per atom
DFT formation energy: -9 meV per atom

a b c (Å): 3.1715 4.7031 8.6687
angles (deg): 90.00 90.00 90.00
Space group Immm (No. 71)
Inequivalent atoms, fractional coordinates:
Sc 0.0000 0.0000 0.0000 (multiplicity 2)
Tc 0.0000 0.5000 0.2387 (multiplicity 4)
W 0.0000 0.0000 0.5000 (multiplicity 2)